DFT (SCAN) results for a PBEsol-optimized structure of CuAs3Cl.

Unit cell a=4.7744 b=4.7744 c=4.7744 alpha=90.00 beta=90.00 gamma=90.00
Element x y z (fractional)
Cu: 0.0000 0.0000 0.0000
As: 0.0000 0.5000 0.5000
As: 0.5000 0.0000 0.5000
As: 0.5000 0.5000 0.0000
Cl: 0.5000 0.5000 0.5000

Values from the calculation:
ρ, g/cm3: 4.9
Total magnetization, Bohr magnetons per cell: 0.00
ΔE_f (raw), meV/atom: 1431.9